Mg2In2Sb | PBE-GGA | relaxed

It has space group I4/mmm (No. 139), with a = 4.499 Å, b = 4.499 Å, c = 13.104 Å, α = 90.00°, β = 90.00° and γ = 90.00°. The asymmetric unit holds Mg at (0.000, 0.500, 0.250), In at (0.000, 0.000, 0.105) and Sb at (0.000, 0.000, 0.500).

The calculated volume comes out at 26.52 Å³/atom. The calculation puts the density at 5.01 Mg/m³. The density of states at the Fermi level is 3.120 states/eV per cell. The offset from the most stable computed form comes out at 123 meV per atom.

***

Tb6Sb3N | PBE-GGA | relaxed

It has space group Cmc2_1 (No. 36), with a = 11.816 Å, b = 14.290 Å, c = 7.049 Å, α = 90.00°, β = 90.00° and γ = 90.00°. The asymmetric unit holds Tb at (0.000, 0.054, 0.000), Tb at (0.000, 0.227, 0.573), Tb at (0.154, 0.262, 0.022), Tb at (0.163, 0.466, 0.548), Sb at (0.000, 0.390, 0.251), Sb at (0.168, 0.102, 0.337) and N at (0.000, 0.198, 0.884).

The calculated volume comes out at 29.76 Å³/atom. The calculation puts the density at 7.44 Mg/m³. The density of states at the Fermi level is 39.977 states/eV per cell.

***

Number 1: formation energy without anion corrections 0.117 eV per atom. Number 2: formation energy without anion corrections -0.882 eV per atom.